(1)
Here is crystalline DyTmPbN at its relaxed geometry from OQMD via LeMat-Bulk. Energies are from GGA-PBE.

a b c (Å): 3.522 3.522 15.466
angles (deg): 90.00 90.00 120.00
Element x y z (fractional)
Pb  0.000  0.000  0.000
N  0.667  0.333  0.245
Pb  0.333  0.667  0.500
Tm  0.333  0.667  0.834
N  0.667  0.333  0.755
Dy  0.000  0.000  0.333
Dy  0.000  0.000  0.667
Tm  0.333  0.667  0.166

Summary:
total DFT energy (no corrections)	-0.4694	Ry per atom
crystal system	hexagonal

(2)
Here is crystalline DyTmPbN at its relaxed geometry from OQMD via LeMat-Bulk. Energies are from GGA-PBE.

a b c (Å): 3.520 3.520 15.477
angles (deg): 90.00 90.00 120.00
Element x y z (fractional)
Pb  0.667  0.333  0.253
N  0.000  0.000  0.000
Dy  0.333  0.667  0.084
Dy  0.667  0.333  0.916
Pb  0.333  0.667  0.747
Tm  0.667  0.333  0.582
Tm  0.333  0.667  0.418
N  0.000  0.000  0.500

Summary:
total DFT energy (no corrections)	-0.4693	Ry per atom
crystal system	trigonal

(3)
Here is crystalline DyTm3Pb2N2 at its relaxed geometry from OQMD via LeMat-Bulk. Energies are from GGA-PBE.

a b c (Å): 3.506 3.506 15.397
angles (deg): 90.00 90.00 120.00
Element x y z (fractional)
N  0.667  0.333  0.500
Dy  0.000  0.000  0.084
Tm  0.000  0.000  0.418
Pb  0.333  0.667  0.252
N  0.667  0.333  0.996
Tm  0.333  0.667  0.917
Tm  0.333  0.667  0.583
Pb  0.000  0.000  0.749

Summary:
total DFT energy (no corrections)	-0.4685	Ry per atom
crystal system	trigonal

(4)
Here is crystalline DyYPbN at its relaxed geometry from OQMD via LeMat-Bulk. Energies are from GGA-PBE.

a b c (Å): 3.553 3.553 15.614
angles (deg): 90.00 90.00 120.00
Element x y z (fractional)
Y  0.333  0.667  0.666
Dy  0.000  0.000  0.167
N  0.667  0.333  0.751
N  0.667  0.333  0.249
Y  0.333  0.667  0.334
Pb  0.333  0.667  0.000
Pb  0.000  0.000  0.500
Dy  0.000  0.000  0.833

Summary:
total DFT energy (no corrections)	-0.5055	Ry per atom
crystal system	hexagonal

(5)
Here is crystalline DyY3Pb2N2 at its relaxed geometry from OQMD via LeMat-Bulk. Energies are from GGA-PBE.

a b c (Å): 3.556 3.556 15.611
angles (deg): 90.00 90.00 120.00
Element x y z (fractional)
Y  0.333  0.667  0.584
Y  0.333  0.667  0.916
Y  0.000  0.000  0.416
N  0.667  0.333  0.001
N  0.667  0.333  0.500
Dy  0.000  0.000  0.083
Pb  0.333  0.667  0.250
Pb  0.000  0.000  0.750

Summary:
total DFT energy (no corrections)	-0.5227	Ry per atom
crystal system	trigonal

(6)
Here is crystalline DyYPbN at its relaxed geometry from OQMD via LeMat-Bulk. Energies are from GGA-PBE.

a b c (Å): 3.553 3.553 15.613
angles (deg): 90.00 90.00 120.00
Element x y z (fractional)
Y  0.667  0.333  0.084
Pb  0.667  0.333  0.750
Dy  0.333  0.667  0.583
Dy  0.667  0.333  0.417
Pb  0.333  0.667  0.250
Y  0.333  0.667  0.916
N  0.000  0.000  0.000
N  0.000  0.000  0.500

Summary:
total DFT energy (no corrections)	-0.5055	Ry per atom
crystal system	trigonal

(7)
Here is crystalline Dy2PdN3 at its relaxed geometry from OQMD via LeMat-Bulk. Energies are from GGA-PBE.

a b c (Å): 6.791 6.791 6.791
angles (deg): 151.55 147.39 43.81
Element x y z (fractional)
Dy  0.347  0.347  0.000
Pd  0.000  0.000  0.000
N  0.832  0.832  0.000
Dy  0.653  0.653  0.000
N  0.500  0.000  0.500
N  0.168  0.168  0.000

Summary:
total DFT energy (no corrections)	-0.5455	Ry per atom
crystal system	orthorhombic

(8)
Here is crystalline PmDy2N3 at its relaxed geometry from OQMD via LeMat-Bulk. Energies are from GGA-PBE.

a b c (Å): 3.502 3.502 8.575
angles (deg): 90.00 90.00 120.00
Element x y z (fractional)
Pm  0.000  0.000  0.500
N  0.000  0.000  0.000
Dy  0.333  0.667  0.837
N  0.667  0.333  0.674
N  0.333  0.667  0.326
Dy  0.667  0.333  0.163

Summary:
total DFT energy (no corrections)	-0.5947	Ry per atom
crystal system	trigonal

(9)
Here is crystalline Pm2DyN3 at its relaxed geometry from OQMD via LeMat-Bulk. Energies are from GGA-PBE.

a b c (Å): 3.550 3.550 8.697
angles (deg): 90.00 90.00 120.00
Element x y z (fractional)
Dy  0.000  0.000  0.500
Pm  0.333  0.667  0.830
N  0.667  0.333  0.659
N  0.000  0.000  0.000
N  0.333  0.667  0.341
Pm  0.667  0.333  0.170

Summary:
total DFT energy (no corrections)	-0.5900	Ry per atom
crystal system	trigonal

(10)
Here is crystalline Dy3Re2Sb3N12 at its relaxed geometry from OQMD via LeMat-Bulk. Energies are from GGA-PBE.

a b c (Å): 11.118 11.118 11.118
angles (deg): 109.47 109.47 109.47
Element x y z (fractional)
N  0.883  0.970  0.800
N  0.583  0.912  0.383
Dy  0.375  0.125  0.250
Re  0.500  0.500  0.000
Dy  0.875  0.750  0.625
N  0.030  0.330  0.912
N  0.917  0.300  0.330
N  0.083  0.700  0.670
Dy  0.625  0.250  0.875
Sb  0.125  0.750  0.875
Sb  0.375  0.250  0.625
N  0.617  0.700  0.530
N  0.670  0.083  0.700
N  0.117  0.588  0.917
N  0.670  0.088  0.970
N  0.530  0.412  0.830
N  0.083  0.883  0.412
N  0.912  0.030  0.330
N  0.200  0.117  0.030
N  0.030  0.200  0.117
Dy  0.750  0.125  0.375
N  0.800  0.883  0.970
Re  0.500  0.000  0.500
Dy  0.750  0.625  0.875
Re  0.500  0.000  0.000
Sb  0.750  0.375  0.625
N  0.300  0.470  0.383
N  0.117  0.030  0.200
Re  0.000  0.500  0.000
N  0.912  0.383  0.583
N  0.383  0.300  0.470
Sb  0.625  0.375  0.250
N  0.970  0.670  0.088
N  0.588  0.170  0.470
N  0.830  0.530  0.412
N  0.470  0.588  0.170
N  0.300  0.330  0.917
N  0.583  0.170  0.200
N  0.830  0.800  0.417
N  0.412  0.830  0.530
Sb  0.875  0.250  0.125
Sb  0.875  0.125  0.750
Dy  0.125  0.250  0.375
N  0.330  0.917  0.300
N  0.530  0.617  0.700
N  0.417  0.088  0.617
Re  0.000  0.500  0.500
Dy  0.250  0.375  0.125
N  0.170  0.470  0.588
Sb  0.250  0.125  0.875
Sb  0.125  0.875  0.250
N  0.412  0.083  0.883
N  0.470  0.383  0.300
N  0.970  0.800  0.883
Dy  0.875  0.625  0.250
N  0.883  0.412  0.083
Re  0.000  0.000  0.000
Sb  0.750  0.875  0.125
N  0.700  0.530  0.617
N  0.417  0.830  0.800
N  0.088  0.617  0.417
N  0.800  0.417  0.830
Sb  0.250  0.625  0.375
N  0.700  0.670  0.083
Dy  0.375  0.750  0.125
Sb  0.375  0.625  0.750
N  0.917  0.117  0.588
Dy  0.625  0.875  0.750
N  0.330  0.912  0.030
N  0.200  0.583  0.170
N  0.588  0.917  0.117
N  0.088  0.970  0.670
Dy  0.125  0.375  0.750
Re  0.000  0.000  0.500
N  0.617  0.417  0.088
Dy  0.250  0.875  0.625
N  0.170  0.200  0.583
Re  0.500  0.500  0.500
N  0.383  0.583  0.912
Sb  0.625  0.750  0.375

Summary:
total DFT energy (no corrections)	-0.5673	Ry per atom
crystal system	cubic

(11)
Here is crystalline Dy3Ta3Re2N12 at its relaxed geometry from OQMD via LeMat-Bulk. Energies are from GGA-PBE.

a b c (Å): 11.053 11.053 11.053
angles (deg): 109.47 109.47 109.47
Element x y z (fractional)
N  0.524  0.616  0.699
N  0.384  0.301  0.476
N  0.199  0.583  0.175
Dy  0.875  0.625  0.250
Dy  0.750  0.125  0.375
N  0.524  0.408  0.825
Ta  0.750  0.375  0.625
N  0.325  0.908  0.024
N  0.616  0.417  0.092
N  0.908  0.384  0.583
Ta  0.625  0.375  0.250
N  0.092  0.976  0.675
Dy  0.125  0.250  0.375
N  0.699  0.524  0.616
N  0.417  0.825  0.801
N  0.092  0.616  0.417
Ta  0.375  0.625  0.750
N  0.083  0.884  0.408
N  0.408  0.825  0.524
N  0.801  0.884  0.976
Ta  0.875  0.125  0.750
N  0.301  0.476  0.384
N  0.616  0.699  0.524
Dy  0.375  0.750  0.125
Dy  0.250  0.375  0.125
N  0.976  0.675  0.092
N  0.917  0.301  0.325
N  0.199  0.116  0.024
Ta  0.125  0.750  0.875
Re  0.500  0.500  0.500
N  0.175  0.199  0.583
N  0.583  0.908  0.384
N  0.884  0.408  0.083
Dy  0.125  0.375  0.750
N  0.583  0.175  0.199
Ta  0.125  0.875  0.250
N  0.917  0.116  0.592
Ta  0.750  0.875  0.125
N  0.825  0.801  0.417
Ta  0.375  0.250  0.625
N  0.384  0.583  0.908
N  0.675  0.092  0.976
N  0.476  0.384  0.301
N  0.083  0.699  0.675
Re  0.500  0.500  0.000
Re  0.000  0.500  0.000
Dy  0.875  0.750  0.625
Dy  0.625  0.250  0.875
N  0.024  0.325  0.908
Re  0.500  0.000  0.500
N  0.908  0.024  0.325
Re  0.500  0.000  0.000
N  0.825  0.524  0.408
Ta  0.250  0.625  0.375
Dy  0.250  0.875  0.625
N  0.325  0.917  0.301
N  0.301  0.325  0.917
N  0.592  0.175  0.476
N  0.699  0.675  0.083
Dy  0.375  0.125  0.250
Dy  0.750  0.625  0.875
Re  0.000  0.500  0.500
N  0.175  0.476  0.592
Re  0.000  0.000  0.000
N  0.116  0.024  0.199
N  0.675  0.083  0.699
Re  0.000  0.000  0.500
N  0.024  0.199  0.116
N  0.976  0.801  0.884
N  0.801  0.417  0.825
N  0.408  0.083  0.884
N  0.476  0.592  0.175
N  0.592  0.917  0.116
Ta  0.250  0.125  0.875
Ta  0.625  0.750  0.375
Dy  0.625  0.875  0.750
Ta  0.875  0.250  0.125
N  0.884  0.976  0.801
N  0.116  0.592  0.917
N  0.417  0.092  0.616

Summary:
total DFT energy (no corrections)	-0.6977	Ry per atom
crystal system	cubic

(12)
Here is crystalline Dy3Re2W3N12 at its relaxed geometry from OQMD via LeMat-Bulk. Energies are from GGA-PBE.

a b c (Å): 10.994 10.994 10.994
angles (deg): 109.47 109.47 109.47
Element x y z (fractional)
N  0.521  0.616  0.700
N  0.384  0.300  0.479
Re  0.000  0.000  0.500
N  0.700  0.680  0.084
N  0.116  0.021  0.200
Re  0.500  0.000  0.000
Dy  0.125  0.250  0.375
N  0.320  0.916  0.300
Dy  0.625  0.250  0.875
N  0.200  0.584  0.180
N  0.904  0.384  0.584
N  0.416  0.096  0.616
N  0.404  0.820  0.521
N  0.096  0.979  0.680
N  0.584  0.180  0.200
W  0.375  0.625  0.750
W  0.125  0.750  0.875
N  0.979  0.680  0.096
N  0.616  0.416  0.096
Re  0.500  0.500  0.000
N  0.979  0.800  0.884
N  0.300  0.479  0.384
N  0.596  0.916  0.116
N  0.916  0.116  0.596
Dy  0.750  0.625  0.875
W  0.875  0.125  0.750
Re  0.500  0.000  0.500
N  0.021  0.320  0.904
N  0.384  0.584  0.904
Dy  0.625  0.875  0.750
Dy  0.875  0.750  0.625
W  0.625  0.375  0.250
N  0.596  0.180  0.479
Re  0.000  0.500  0.500
N  0.800  0.884  0.979
Dy  0.125  0.375  0.750
W  0.750  0.875  0.125
W  0.250  0.625  0.375
N  0.021  0.200  0.116
N  0.820  0.800  0.416
Dy  0.375  0.125  0.250
Re  0.500  0.500  0.500
N  0.096  0.616  0.416
N  0.200  0.116  0.021
N  0.904  0.021  0.320
N  0.916  0.300  0.320
Re  0.000  0.000  0.000
N  0.800  0.416  0.820
Dy  0.750  0.125  0.375
N  0.084  0.884  0.404
W  0.875  0.250  0.125
Dy  0.250  0.375  0.125
N  0.479  0.596  0.180
N  0.320  0.904  0.021
N  0.180  0.200  0.584
N  0.084  0.700  0.680
N  0.479  0.384  0.300
N  0.884  0.979  0.800
W  0.750  0.375  0.625
N  0.180  0.479  0.596
N  0.680  0.096  0.979
N  0.404  0.084  0.884
W  0.250  0.125  0.875
N  0.680  0.084  0.700
W  0.625  0.750  0.375
N  0.820  0.521  0.404
N  0.616  0.700  0.521
N  0.584  0.904  0.384
N  0.416  0.820  0.800
W  0.375  0.250  0.625
N  0.521  0.404  0.820
N  0.300  0.320  0.916
Re  0.000  0.500  0.000
Dy  0.375  0.750  0.125
N  0.884  0.404  0.084
N  0.116  0.596  0.916
Dy  0.875  0.625  0.250
W  0.125  0.875  0.250
Dy  0.250  0.875  0.625
N  0.700  0.521  0.616

Summary:
total DFT energy (no corrections)	-0.6996	Ry per atom
crystal system	cubic

(13)
Here is crystalline Dy2SN at its relaxed geometry from OQMD via LeMat-Bulk. Energies are from GGA-PBE.

a b c (Å): 3.700 3.700 5.239
angles (deg): 90.00 90.00 90.00
Element x y z (fractional)
S  0.500  0.500  0.500
N  0.000  0.000  0.000
Dy  0.500  0.500  0.000
Dy  0.000  0.000  0.500

Summary:
total DFT energy (no corrections)	-0.5180	Ry per atom
crystal system	tetragonal

(14)
Here is crystalline Dy4S3N at its relaxed geometry from OQMD via LeMat-Bulk. Energies are from GGA-PBE.

a b c (Å): 6.599 6.599 6.599
angles (deg): 131.70 131.70 70.71
Element x y z (fractional)
N  0.000  0.000  0.000
S  0.750  0.250  0.500
Dy  0.000  0.500  0.500
S  0.250  0.750  0.500
Dy  0.782  0.782  0.000
Dy  0.500  0.000  0.500
S  0.500  0.500  0.000
Dy  0.218  0.218  0.000

Summary:
total DFT energy (no corrections)	-0.4945	Ry per atom
crystal system	tetragonal

Volume per entry: 20.770, 20.757, 20.487, 21.341, 21.375, 21.341, 13.364, 15.180, 15.821, 13.225, 12.993, 12.787, 17.932, 19.616 A^3/atom